The following is a PBE calculation of a geometry-optimized Ho2CdCo structure, from the Alexandria database.

Crystal system: cubic
Total DFT energy (no corrections): -17.79 eV/cell
Energy above the lowest structure with this stoichiometry: 117 meV/atom
ΔE_f: -152 meV/atom
Total magnetic moment: 0.6 Bohr magnetons per cell

abc: 5.0080 5.0080 5.0080
angles: 60.00 60.00 60.00
Each line ends with the local moment (μB).
Element x y z (fractional)
Co  0.0000  0.0000  0.0000  1.03
Ho  0.2500  0.2500  0.2500  -0.17
Ho  0.7500  0.7500  0.7500  -0.17
Cd  0.5000  0.5000  0.5000  -0.01